Record 1
Below is an optimized crystal structure of CrNiPO2, with properties calculated at the GGA+U level.

Properties
Symmetry: P4/mmm
V, Å³/cell: 63
Distance to the lowest polymorph of the same formula, eV/atom: 0.285
Density of states at the Fermi level, states/eV per cell: 2.83

abc: 3.6881 3.6881 4.6477
angles: 90.00 90.00 90.00
Closest atoms and distances in Å follow each position.
Sites, in units of the cell vectors:
Cr (0.0000, 0.0000, 0.0000)  4 P 2.61
Ni (0.5000, 0.5000, 0.5000)  4 O 1.84
P (0.5000, 0.5000, 0.0000)  2 Ni 2.32
O (0.0000, 0.5000, 0.5000)  2 Ni 1.84
O (0.5000, 0.0000, 0.5000)  2 Ni 1.84

---

Record 2
Below is an optimized crystal structure of Cr2Ni3SbP6O24, with properties calculated at the GGA+U level.

Properties
Symmetry: R3
Electronic total energy, eV per cell: -243.30
V, Å³/cell: 440
Density of states at the Fermi level, states/eV per cell: 11.23

abc: 8.4347 8.4347 8.4347
angles: 61.65 61.65 61.65
Closest atoms and distances in Å follow each position.
Sites, in units of the cell vectors:
Cr (0.0000, 0.0000, 0.0000)  6 O 2.07
Cr (0.4964, 0.4964, 0.4964)  6 O 2.03-2.15
Ni (0.1440, 0.1440, 0.1440)  6 O 2.00-2.13
Ni (0.3567, 0.3567, 0.3567)  6 O 1.97-2.12
Ni (0.8577, 0.8577, 0.8577)  6 O 1.97-2.09
Sb (0.6451, 0.6451, 0.6451)  6 O 1.95-2.05
P (0.0508, 0.4492, 0.7569)  4 O 1.50-1.58
P (0.2455, 0.9591, 0.5521)  4 O 1.50-1.66
P (0.4492, 0.7569, 0.0508)  4 O 1.50-1.58
P (0.5521, 0.2455, 0.9591)  4 O 1.50-1.66
P (0.7569, 0.0508, 0.4492)  4 O 1.50-1.58
P (0.9591, 0.5521, 0.2455)  4 O 1.50-1.66
O (0.0700, 0.2428, 0.8966)  1 P 1.55
O (0.1041, 0.9249, 0.7595)  1 P 1.56
O (0.1060, 0.5153, 0.3220)  1 P 1.50
O (0.1804, 0.9896, 0.3990)  1 P 1.50
O (0.2428, 0.8966, 0.0700)  1 P 1.55
O (0.2459, 0.4498, 0.5938)  1 P 1.57
O (0.3220, 0.1060, 0.5153)  1 P 1.50
O (0.3990, 0.1804, 0.9896)  1 P 1.50
O (0.4133, 0.7486, 0.5608)  1 P 1.66
O (0.4498, 0.5938, 0.2459)  1 P 1.57
O (0.4880, 0.6788, 0.8938)  1 P 1.58
O (0.5153, 0.3220, 0.1060)  1 P 1.50
O (0.5608, 0.4133, 0.7486)  1 P 1.66
O (0.5938, 0.2459, 0.4498)  1 P 1.57
O (0.5974, 0.8415, 0.9914)  1 P 1.50
O (0.6788, 0.8938, 0.4880)  1 P 1.58
O (0.7486, 0.5608, 0.4133)  1 P 1.66
O (0.7595, 0.1041, 0.9249)  1 P 1.56
O (0.8415, 0.9914, 0.5974)  1 P 1.50
O (0.8938, 0.4880, 0.6788)  1 P 1.58
O (0.8966, 0.0700, 0.2428)  1 P 1.55
O (0.9249, 0.7595, 0.1041)  1 P 1.56
O (0.9896, 0.3990, 0.1804)  1 P 1.50
O (0.9914, 0.5974, 0.8415)  1 P 1.50

---

Record 3
Below is an optimized crystal structure of V3Cr2NiP6O24, with properties calculated at the GGA+U level.

Properties
Symmetry: R3
Electronic total energy, eV per cell: -265.04
V, Å³/cell: 440
Density of states at the Fermi level, states/eV per cell: 11.46

abc: 8.4577 8.4577 8.4577
angles: 61.24 61.24 61.24
Closest atoms and distances in Å follow each position.
Sites, in units of the cell vectors:
V (0.0000, 0.0000, 0.0000)  6 O 1.90-2.02
V (0.2128, 0.2128, 0.2128)  6 O 1.95-2.07
V (0.7116, 0.7116, 0.7116)  6 O 1.91-2.04
Cr (0.3569, 0.3569, 0.3569)  6 O 2.07-2.11
Cr (0.8565, 0.8565, 0.8565)  6 O 2.16
Ni (0.4989, 0.4989, 0.4989)  6 O 1.99-2.13
P (0.1056, 0.8085, 0.4004)  4 O 1.52-1.58
P (0.3109, 0.6039, 0.9007)  4 O 1.49-1.59
P (0.4004, 0.1056, 0.8085)  4 O 1.52-1.58
P (0.6039, 0.9007, 0.3109)  4 O 1.49-1.59
P (0.8085, 0.4004, 0.1056)  4 O 1.52-1.58
P (0.9007, 0.3109, 0.6039)  4 O 1.49-1.59
O (0.0267, 0.8600, 0.2456)  1 P 1.54
O (0.1055, 0.2976, 0.4477)  1 P 1.58
O (0.1082, 0.7647, 0.9256)  1 P 1.59
O (0.1717, 0.9657, 0.3629)  1 P 1.52
O (0.2456, 0.0267, 0.8600)  1 P 1.54
O (0.2602, 0.6096, 0.4074)  1 P 1.55
O (0.2976, 0.4477, 0.1055)  1 P 1.58
O (0.3409, 0.5369, 0.7512)  1 P 1.49
O (0.3629, 0.1717, 0.9657)  1 P 1.52
O (0.4074, 0.2602, 0.6096)  1 P 1.55
O (0.4477, 0.1055, 0.2976)  1 P 1.58
O (0.4687, 0.6737, 0.8596)  1 P 1.54
O (0.5369, 0.7512, 0.3409)  1 P 1.49
O (0.6026, 0.9468, 0.7911)  1 P 1.58
O (0.6096, 0.4074, 0.2602)  1 P 1.55
O (0.6737, 0.8596, 0.4687)  1 P 1.54
O (0.7512, 0.3409, 0.5369)  1 P 1.49
O (0.7647, 0.9256, 0.1082)  1 P 1.59
O (0.7911, 0.6026, 0.9468)  1 P 1.58
O (0.8600, 0.2456, 0.0267)  1 P 1.54
O (0.8596, 0.4687, 0.6737)  1 P 1.54
O (0.9256, 0.1082, 0.7647)  1 P 1.59
O (0.9468, 0.7911, 0.6026)  1 P 1.58
O (0.9657, 0.3629, 0.1717)  1 P 1.52

---

Record 4
Below is an optimized crystal structure of PaCr2NiO8, with properties calculated at the GGA+U level.

Properties
Symmetry: I-4m2
Electronic total energy, eV per cell: -88.68
V, Å³/cell: 154

abc: 5.8595 5.8595 5.8595
angles: 107.69 107.69 113.10
Closest atoms and distances in Å follow each position.
Sites, in units of the cell vectors:
Pa (0.0000, 0.0000, 0.0000)  4 O 2.16
Cr (0.5000, 0.5000, 0.0000)  4 O 1.74
Cr (0.7500, 0.2500, 0.5000)  4 O 1.78
Ni (0.2500, 0.7500, 0.5000)  8 O 2.20-2.47
O (0.3221, 0.1336, 0.8116)  1 Cr 1.74
O (0.3221, 0.5105, 0.1884)  1 Cr 1.74
O (0.3752, 0.0701, 0.3050)  1 Cr 1.78
O (0.4895, 0.6779, 0.8116)  1 Cr 1.74
O (0.7651, 0.0701, 0.6950)  1 Cr 1.78
O (0.8664, 0.6779, 0.1884)  1 Cr 1.74
O (0.9299, 0.2349, 0.3050)  1 Cr 1.78
O (0.9299, 0.6248, 0.6950)  1 Cr 1.78